# 1
DFT (PBE) results for a geometry-optimized YThTe2 structure.

Output
DOS(E_F) ... 4.37 states/eV per cell
SG ... P4/mmm, No. 123
Energy above the most stable polymorph in this dataset ... 0.040 eV/atom

a = 4.4266 Å, b = 4.4266 Å, c = 6.2662 Å
α = 90.00°, β = 90.00°, γ = 90.00°
With the nearest neighbours (Å) after each atom.
Fractional positions:
Te  0.5000  0.5000  0.0000  4 Th 3.13, 2 Y 3.13
Th  0.0000  0.0000  0.0000  6 Te 3.13
Te  0.0000  0.0000  0.5000  4 Y 3.13, 2 Th 3.13
Y  0.5000  0.5000  0.5000  6 Te 3.13


# 2
DFT (PBE) results for a geometry-optimized MgOsN2 structure.

Output
DOS(E_F) ... 1.80 states/eV per cell
SG ... R-3m, No. 166

a = 6.3433 Å, b = 6.3433 Å, c = 6.3433 Å
α = 27.96°, β = 27.96°, γ = 27.96°
With the nearest neighbours (Å) after each atom.
Fractional positions:
N  0.9012  0.9012  0.9012  1 Os 1.81
N  0.0988  0.0988  0.0988  1 Os 1.81
Os  0.0000  0.0000  0.0000  2 N 1.81
Mg  0.5000  0.5000  0.5000  6 N 2.16


# 3
DFT (PBE) results for a geometry-optimized PmAgSb3 structure.

Output
DOS(E_F) ... 7.83 states/eV per cell
SG ... Pbcm, No. 57

a = 6.2961 Å, b = 6.2398 Å, c = 13.4862 Å
α = 90.00°, β = 90.00°, γ = 90.00°
With the nearest neighbours (Å) after each atom.
Fractional positions:
Pm  0.2500  0.5001  0.3173  9 Sb 3.17-3.50, 2 Ag 3.50
Ag  0.5000  0.7500  0.8834  6 Sb 2.92-3.24, 2 Ag 3.15
Sb  0.7500  0.0106  0.7469  2 Ag 2.92, 1 Sb 3.03, 3 Pm 3.17-3.27
Pm  0.7500  0.9999  0.3173  9 Sb 3.17-3.50, 2 Ag 3.50
Sb  0.0000  0.2500  0.4979  4 Sb 3.12-3.15, 4 Pm 3.29-3.33
Pm  0.2500  0.0001  0.6827  9 Sb 3.17-3.50, 2 Ag 3.50
Pm  0.7500  0.4999  0.6827  9 Sb 3.17-3.50, 2 Ag 3.50
Sb  0.7500  0.3049  0.9258  3 Sb 3.03-3.22, 4 Ag 3.04-3.24
Ag  0.0000  0.7500  0.8834  6 Sb 2.92-3.24, 2 Ag 3.15
Sb  0.2500  0.4894  0.7469  2 Ag 2.92, 1 Sb 3.03, 3 Pm 3.17-3.27
Sb  0.7500  0.5106  0.2531  2 Ag 2.92, 1 Sb 3.03, 3 Pm 3.17-3.27
Sb  0.5000  0.2500  0.4979  4 Sb 3.12-3.15, 4 Pm 3.29-3.33
Sb  0.5000  0.7500  0.5021  4 Sb 3.12-3.15, 4 Pm 3.29-3.33
Sb  0.0000  0.7500  0.5021  4 Sb 3.12-3.15, 4 Pm 3.29-3.33
Sb  0.2500  0.6951  0.0742  3 Sb 3.03-3.22, 4 Ag 3.04-3.24
Ag  0.5000  0.2500  0.1166  6 Sb 2.92-3.24, 2 Ag 3.15
Sb  0.2500  0.1951  0.9258  3 Sb 3.03-3.22, 4 Ag 3.04-3.24
Sb  0.7500  0.8049  0.0742  3 Sb 3.03-3.22, 4 Ag 3.04-3.24
Sb  0.2500  0.9894  0.2531  2 Ag 2.92, 1 Sb 3.03, 3 Pm 3.17-3.27
Ag  0.0000  0.2500  0.1166  6 Sb 2.92-3.24, 2 Ag 3.15


Number 1: DFT total energy -24.7 eV/cell, calculated volume 30.70 Å³/atom. Number 2: DFT total energy -28.1 eV/cell, calculated volume 12.39 Å³/atom. Number 3: DFT total energy -88.6 eV/cell, calculated volume 26.49 Å³/atom.